(1)
Below is a relaxed structure of Ce6Hg5Pd, with properties calculated at the PBE level.

Calculated values
SG	No. 12
size of the total moment	0.520	μB/atom
ΔH_f (0 K)	-0.339	eV per atom
theoretical density	10.13	g/cm3
crystal system	monoclinic

abc: 5.339 7.652 8.950
angles: 64.69 76.65 90.00
Sites, in units of the cell vectors:
Hg1 0.000 0.500 0.000
Hg2 0.722 0.182 0.635
Hg3 0.713 0.669 0.661
Ce1 0.802 0.611 0.307
Ce2 0.500 0.231 0.000
Ce3 0.500 0.769 0.000
Ce4 0.198 0.389 0.693
Hg4 0.278 0.818 0.365
Hg5 0.287 0.331 0.339
Pd1 0.000 0.000 0.000
Ce5 0.802 0.082 0.307
Ce6 0.198 0.918 0.693



(2)
Below is a relaxed structure of Zr2AgIr2, with properties calculated at the PBE level.

Calculated values
SG	No. 127
offset from the most stable computed form	0.000	eV per atom
size of the total moment	0.000	μB/atom
ΔH_f (0 K)	-0.584	eV per atom
theoretical density	11.85	g/cm3
crystal system	tetragonal

abc: 7.735 7.735 3.160
angles: 90.00 90.00 90.00
Sites, in units of the cell vectors:
Zr1 0.660 0.840 0.500
Ir1 0.864 0.636 0.000
Ir2 0.636 0.136 0.000
Ag1 0.500 0.500 0.000
Ir3 0.364 0.864 0.000
Zr2 0.340 0.160 0.500
Zr3 0.840 0.340 0.500
Ir4 0.136 0.364 0.000
Zr4 0.160 0.660 0.500
Ag2 0.000 0.000 0.000



(3)
Below is a relaxed structure of AcTa2H8, with properties calculated at the PBE level.

Calculated values
SG	No. 8
size of the total moment	0.000	μB/atom
theoretical density	9.02	g/cm3
crystal system	monoclinic
electronic total energy	-5.218	eV per atom

abc: 5.105 4.983 4.983
angles: 119.92 90.01 90.01
Sites, in units of the cell vectors:
H1 0.655 0.728 0.728
H2 0.935 0.329 0.664
Ac1 0.048 0.998 0.998
H3 0.327 0.434 0.434
H4 0.935 0.664 0.329
H5 0.327 0.561 0.997
H6 0.653 0.998 0.265
Ta1 0.570 0.330 0.664
H7 0.327 0.997 0.561
Ta2 0.570 0.664 0.330
H8 0.653 0.265 0.998